# 1
Here is a relaxed CaReN3 crystal from Alexandria. Energies are from GGA-PBE.

Results
Its density of states at the Fermi level is 3.55 states/eV per cell. The calculation puts the total energy at -8.182 eV/atom. Its volume is 13.765 Å³/atom. The calculation puts the magnetization at 0.000 μB per formula unit. Its space group is No. 8.

Unit cell a=6.8359 b=6.8359 c=5.1528 alpha=92.78 beta=92.78 gamma=34.92
Atoms (fractional coordinates):
Ca: 0.0000 0.0000 0.0000
Ca: 0.6624 0.6624 0.5326
Re: 0.2580 0.2580 0.9937
Re: 0.3939 0.3939 0.4075
N: 0.1555 0.8303 0.5143
N: 0.2734 0.2734 0.6167
N: 0.4052 0.4052 0.0382
N: 0.4971 0.8163 0.0310
N: 0.8163 0.4971 0.0310
N: 0.8303 0.1555 0.5143


# 2
Here is a relaxed YPdRhPb crystal from Alexandria. Energies are from GGA-PBE.

Results
Its density of states at the Fermi level is 2.98 states/eV per cell. The calculation puts the total energy at -6.271 eV/atom. Its volume is 19.805 Å³/atom. The calculation puts the magnetization at 0.000 μB per formula unit. Its space group is No. 216.

Unit cell a=4.8208 b=4.8208 c=4.8208 alpha=60.00 beta=60.00 gamma=60.00
Atoms (fractional coordinates):
Y: 0.0000 0.0000 0.0000
Pd: 0.7500 0.7500 0.7500
Rh: 0.2500 0.2500 0.2500
Pb: 0.5000 0.5000 0.5000


# 3
Here is a relaxed TlPtPbI2 crystal from Alexandria. Energies are from GGA-PBE.

Results
Its density of states at the Fermi level is 4.34 states/eV per cell. The calculation puts the total energy at -2.953 eV/atom. Its volume is 33.563 Å³/atom. The calculation puts the magnetization at 0.455 μB per formula unit. Its space group is No. 123.

Unit cell a=5.5949 b=5.5949 c=5.3611 alpha=90.00 beta=90.00 gamma=90.00
Atoms (fractional coordinates):
Tl: 0.0000 0.0000 0.0000
Pt: 0.0000 0.0000 0.5000
Pb: 0.5000 0.5000 0.0000
I: 0.0000 0.5000 0.5000
I: 0.5000 0.0000 0.5000


# 4
Here is a relaxed SrLuAgHg crystal from Alexandria. Energies are from GGA-PBE.

Results
Its density of states at the Fermi level is 2.74 states/eV per cell. The calculation puts the total energy at -2.639 eV/atom. Its volume is 26.788 Å³/atom. The calculation puts the magnetization at 0.000 μB per formula unit. Its space group is No. 216.

Unit cell a=5.3314 b=5.3314 c=5.3314 alpha=60.00 beta=60.00 gamma=60.00
Atoms (fractional coordinates):
Sr: 0.0000 0.0000 0.0000
Lu: 0.5000 0.5000 0.5000
Ag: 0.2500 0.2500 0.2500
Hg: 0.7500 0.7500 0.7500


# 5
Here is a relaxed PbCl crystal from Alexandria. Energies are from GGA-PBE.

Results
Its density of states at the Fermi level is 1.12 states/eV per cell. The calculation puts the total energy at -3.040 eV/atom. Its volume is 31.742 Å³/atom. The calculation puts the magnetization at 0.000 μB per formula unit. Its space group is No. 194.

Unit cell a=5.2285 b=5.2285 c=10.7262 alpha=90.00 beta=90.00 gamma=120.00
Atoms (fractional coordinates):
Pb: 0.3333 0.6667 0.1152
Pb: 0.3333 0.6667 0.3848
Pb: 0.6667 0.3333 0.6152
Pb: 0.6667 0.3333 0.8848
Cl: 0.0000 0.0000 0.2500
Cl: 0.0000 0.0000 0.7500
Cl: 0.3333 0.6667 0.7500
Cl: 0.6667 0.3333 0.2500


# 6
Here is a relaxed TaTi3Co4 crystal from Alexandria. Energies are from GGA-PBE.

Results
Its density of states at the Fermi level is 7.26 states/eV per cell. The calculation puts the total energy at -8.312 eV/atom. Its volume is 13.415 Å³/atom. The calculation puts the magnetization at 0.897 μB per formula unit. Its space group is No. 166.

Unit cell a=7.4979 b=7.4979 c=7.4979 alpha=32.35 beta=32.35 gamma=32.35
Atoms (fractional coordinates):
Ta: 0.0000 0.0000 0.0000
Ti: 0.2511 0.2511 0.2511
Ti: 0.5000 0.5000 0.5000
Ti: 0.7489 0.7489 0.7489
Co: 0.1274 0.1274 0.1274
Co: 0.3854 0.3854 0.3854
Co: 0.6146 0.6146 0.6146
Co: 0.8726 0.8726 0.8726


# 7
Here is a relaxed CaCrCd4 crystal from Alexandria. Energies are from GGA-PBE.

Results
Its density of states at the Fermi level is 1.81 states/eV per cell. The calculation puts the total energy at -2.500 eV/atom. Its volume is 22.944 Å³/atom. The calculation puts the magnetization at 4.037 μB per formula unit. Its space group is No. 216.

Unit cell a=5.7958 b=5.7958 c=5.7958 alpha=60.00 beta=60.00 gamma=60.00
Atoms (fractional coordinates):
Ca: 0.0000 0.0000 0.0000
Cr: 0.2500 0.2500 0.2500
Cd: 0.1265 0.6245 0.6245
Cd: 0.6245 0.1265 0.6245
Cd: 0.6245 0.6245 0.1265
Cd: 0.6245 0.6245 0.6245


# 8
Here is a relaxed LaNbSn3 crystal from Alexandria. Energies are from GGA-PBE.

Results
Its density of states at the Fermi level is 5.48 states/eV per cell. The calculation puts the total energy at -4.039 eV/atom. Its volume is 39.613 Å³/atom. The calculation puts the magnetization at 3.109 μB per formula unit. Its space group is No. 221.

Unit cell a=5.8291 b=5.8291 c=5.8291 alpha=90.00 beta=90.00 gamma=90.00
Atoms (fractional coordinates):
La: 0.0000 0.0000 0.0000
Nb: 0.5000 0.5000 0.5000
Sn: 0.0000 0.0000 0.5000
Sn: 0.0000 0.5000 0.0000
Sn: 0.5000 0.0000 0.0000


# 9
Here is a relaxed SmGaAu11 crystal from Alexandria. Energies are from GGA-PBE.

Results
Its density of states at the Fermi level is 4.13 states/eV per cell. The calculation puts the total energy at -3.589 eV/atom. Its volume is 19.410 Å³/atom. The calculation puts the magnetization at 0.000 μB per formula unit. Its space group is No. 12.

Unit cell a=7.3147 b=7.3147 c=7.1310 alpha=96.84 beta=96.84 gamma=135.80
Atoms (fractional coordinates):
Sm: 0.0000 0.0000 0.0000
Ga: 0.5000 0.5000 0.5000
Au: 0.0000 0.0000 0.5000
Au: 0.0000 0.5000 0.0000
Au: 0.0269 0.6789 0.6516
Au: 0.3195 0.5278 0.7835
Au: 0.3211 0.9731 0.3484
Au: 0.4722 0.6805 0.2165
Au: 0.5000 0.0000 0.0000
Au: 0.5278 0.3195 0.7835
Au: 0.6789 0.0269 0.6516
Au: 0.6805 0.4722 0.2165
Au: 0.9731 0.3211 0.3484


# 10
Here is a relaxed PmBi2Pd2 crystal from Alexandria. Energies are from GGA-PBE.

Results
Its density of states at the Fermi level is 4.10 states/eV per cell. The calculation puts the total energy at -5.168 eV/atom. Its volume is 25.380 Å³/atom. The calculation puts the magnetization at 0.000 μB per formula unit. Its space group is No. 11.

Unit cell a=4.9179 b=4.6967 c=11.1858 alpha=90.00 beta=100.80 gamma=90.00
Atoms (fractional coordinates):
Pm: 0.1904 0.2500 0.3085
Pm: 0.8096 0.7500 0.6915
Bi: 0.2373 0.2500 0.9883
Bi: 0.2786 0.2500 0.6465
Bi: 0.7214 0.7500 0.3535
Bi: 0.7627 0.7500 0.0117
Pd: 0.3015 0.7500 0.1450
Pd: 0.3053 0.7500 0.5079
Pd: 0.6947 0.2500 0.4921
Pd: 0.6985 0.2500 0.8550


# 11
Here is a relaxed LiNdTiPt2 crystal from Alexandria. Energies are from GGA-PBE.

Results
Its density of states at the Fermi level is 3.55 states/eV per cell. The calculation puts the total energy at -6.125 eV/atom. Its volume is 19.401 Å³/atom. The calculation puts the magnetization at 0.000 μB per formula unit. Its space group is No. 119.

Unit cell a=6.6413 b=6.6413 c=6.6413 alpha=144.76 beta=144.76 gamma=50.69
Atoms (fractional coordinates):
Li: 0.0000 0.0000 0.0000
Nd: 0.2500 0.7500 0.5000
Ti: 0.5000 0.5000 0.0000
Pt: 0.6342 0.1342 0.5000
Pt: 0.8658 0.3658 0.5000


# 12
Here is a relaxed La5Ag4Ru crystal from Alexandria. Energies are from GGA-PBE.

Results
Its density of states at the Fermi level is 9.67 states/eV per cell. The calculation puts the total energy at -4.775 eV/atom. Its volume is 26.806 Å³/atom. The calculation puts the magnetization at 0.234 μB per formula unit. Its space group is No. 123.

Unit cell a=3.6891 b=3.6891 c=19.6962 alpha=90.00 beta=90.00 gamma=90.00
Atoms (fractional coordinates):
La: 0.0000 0.0000 0.0000
La: 0.0000 0.0000 0.2049
La: 0.0000 0.0000 0.4142
La: 0.0000 0.0000 0.5858
La: 0.0000 0.0000 0.7951
Ag: 0.5000 0.5000 0.1027
Ag: 0.5000 0.5000 0.3055
Ag: 0.5000 0.5000 0.6945
Ag: 0.5000 0.5000 0.8973
Ru: 0.5000 0.5000 0.5000


# 13
Here is a relaxed NaPm2Sb3Rh4 crystal from Alexandria. Energies are from GGA-PBE.

Results
Its density of states at the Fermi level is 3.63 states/eV per cell. The calculation puts the total energy at -5.940 eV/atom. Its volume is 21.148 Å³/atom. The calculation puts the magnetization at 0.000 μB per formula unit. Its space group is No. 115.

Unit cell a=4.3239 b=4.3239 c=11.3115 alpha=90.00 beta=90.00 gamma=90.00
Atoms (fractional coordinates):
Na: 0.0000 0.0000 0.0000
Pm: 0.0000 0.5000 0.7492
Pm: 0.5000 0.0000 0.2508
Sb: 0.0000 0.5000 0.3673
Sb: 0.5000 0.0000 0.6327
Sb: 0.5000 0.5000 0.0000
Rh: 0.0000 0.0000 0.5000
Rh: 0.0000 0.5000 0.1440
Rh: 0.5000 0.0000 0.8560
Rh: 0.5000 0.5000 0.5000